1.
Density functional theory data (PBE) for an optimized crystal structure of Sr2CaPbS4.

Unit cell a=7.295 b=4.218 c=7.338 alpha=90.00 beta=109.45 gamma=90.00
Fractional positions:
Sr: 0.000 0.000 0.000
Sr: 0.000 0.500 0.500
Ca: 0.500 0.000 0.500
Pb: 0.500 0.500 0.000
S: 0.253 0.000 0.743
S: 0.258 0.500 0.260
S: 0.742 0.500 0.740
S: 0.747 0.000 0.257

Results
Formation energy without anion corrections ... -1.734 eV per atom
Calculated volume ... 26.61 A^3/atom
Total DFT energy (no corrections) ... -4.9317 eV per atom

---

2.
Density functional theory data (PBE) for an optimized crystal structure of Tm4CdFe.

Unit cell a=7.550 b=7.550 c=5.961 alpha=99.47 beta=99.47 gamma=110.50
Fractional positions:
Tm: 0.060 0.731 0.955
Tm: 0.197 0.358 0.609
Tm: 0.269 0.940 0.545
Tm: 0.358 0.197 0.109
Tm: 0.642 0.803 0.891
Tm: 0.731 0.060 0.455
Tm: 0.803 0.642 0.391
Tm: 0.940 0.269 0.045
Cd: 0.374 0.626 0.250
Cd: 0.626 0.374 0.750
Fe: 0.001 0.999 0.750
Fe: 0.999 0.001 0.250

Results
Energy above the lowest structure with this stoichiometry ... 0.0 meV per atom
Calculated volume ... 25.39 A^3/atom
Formation energy ... -0.14 eV per atom
Total DFT energy (no corrections) ... -4.6874 eV per atom

---

3.
Density functional theory data (PBE) for an optimized crystal structure of ZrBe2Ir2.

Unit cell a=9.385 b=9.385 c=9.385 alpha=155.72 beta=155.72 gamma=34.61
Fractional positions:
Zr: 0.119 0.119 0.000
Zr: 0.881 0.881 0.000
Be: 0.250 0.750 0.500
Be: 0.432 0.432 0.000
Be: 0.568 0.568 0.000
Be: 0.750 0.250 0.500
Ir: 0.000 0.500 0.500
Ir: 0.308 0.308 0.000
Ir: 0.500 0.000 0.500
Ir: 0.692 0.692 0.000

Results
Energy above the lowest structure with this stoichiometry ... 61.8 meV per atom
Calculated volume ... 13.97 A^3/atom
Formation energy ... -0.59 eV per atom
Total DFT energy (no corrections) ... -7.3317 eV per atom